(1)
DFT (GGA-PBE) results for an optimized crystal structure of Er2BiSe.

Cell and atoms, written as CIF:
```
data_Er2BiSe
_chemical_formula_sum 'Er4 Bi2 Se2'
_cell_length_a 4.226
_cell_length_b 6.039
_cell_length_c 8.510
_cell_angle_alpha 90.00
_cell_angle_beta 90.00
_cell_angle_gamma 90.00
_symmetry_space_group_name_H-M 'P m m n'
_symmetry_Int_Tables_number 59
loop_
_symmetry_equiv_pos_as_xyz
'x,y,z'
'-x,-y,-z'
'-x+1/2,-y+1/2,z'
'x+1/2,y+1/2,-z'
'x+1/2,-y,-z'
'-x+1/2,y,z'
'-x,y+1/2,-z'
'x,-y+1/2,z'
loop_
_atom_site_label
_atom_site_type_symbol
_atom_site_fract_x
_atom_site_fract_y
_atom_site_fract_z
Er1 Er 0.250 0.250 0.112
Er2 Er 0.250 0.250 0.647
Bi1 Bi 0.250 0.750 0.623
Se1 Se 0.250 0.750 0.119
```

The density of states at the Fermi level comes out at 1.57 states/eV/f.u. The calculated volume is 217.20 Å³ per cell. The value obtained for the formation energy without anion corrections is -1224 meV per atom. The distance to the lowest polymorph of the same formula is 5 meV per atom. The value obtained for the total energy is -42.8 eV per cell. The total magnetic moment is 0.00 Bohr magnetons per cell.

=====

(2)
DFT (GGA-PBE) results for an optimized crystal structure of Er4BiSe.

Cell and atoms, written as CIF:
```
data_Er4BiSe
_chemical_formula_sum 'Er16 Bi4 Se4'
_cell_length_a 5.473
_cell_length_b 20.276
_cell_length_c 6.192
_cell_angle_alpha 90.00
_cell_angle_beta 90.00
_cell_angle_gamma 90.00
_symmetry_space_group_name_H-M 'C m c m'
_symmetry_Int_Tables_number 63
_symmetry_space_group_name_Hall '-C 2c 2'
loop_
_atom_site_label
_atom_site_type_symbol
_atom_site_fract_x
_atom_site_fract_y
_atom_site_fract_z
Er1 Er 0.000 0.058 0.250
Er2 Er 0.000 0.209 0.002
Er3 Er 0.000 0.378 0.250
Bi1 Bi 0.000 0.357 0.750
Se1 Se 0.000 0.079 0.750
```

The density of states at the Fermi level comes out at 4.94 states/eV/f.u. The calculated volume is 687.11 Å³ per cell. The value obtained for the formation energy without anion corrections is -621 meV per atom. The value obtained for the total energy is -117.4 eV per cell. The total magnetic moment is 0.00 Bohr magnetons per cell.

=====

(3)
DFT (GGA-PBE) results for an optimized crystal structure of Er6BiSe5.

Cell and atoms, written as CIF:
```
data_Er6BiSe5
_chemical_formula_sum 'Er12 Bi2 Se10'
_cell_length_a 7.101
_cell_length_b 12.290
_cell_length_c 7.160
_cell_angle_alpha 90.00
_cell_angle_beta 109.37
_cell_angle_gamma 90.00
_symmetry_space_group_name_H-M 'C 1 2/m 1'
_symmetry_Int_Tables_number 12
loop_
_symmetry_equiv_pos_as_xyz
'x,y,z'
'-x,-y,-z'
'-x,y,-z'
'x,-y,z'
'x+1/2,y+1/2,z'
'-x+1/2,-y+1/2,-z'
'-x+1/2,y+1/2,-z'
'x+1/2,-y+1/2,z'
loop_
_atom_site_label
_atom_site_type_symbol
_atom_site_fract_x
_atom_site_fract_y
_atom_site_fract_z
Er1 Er 0.237 0.000 0.260
Er2 Er 0.237 0.173 0.733
Bi1 Bi 0.000 0.500 0.000
Se1 Se 0.000 0.000 0.500
Se2 Se 0.000 0.168 0.000
Se3 Se 0.000 0.341 0.500
```

The density of states at the Fermi level comes out at 5.38 states/eV/f.u. The calculated volume is 589.48 Å³ per cell. The value obtained for the formation energy without anion corrections is -1529 meV per atom. The value obtained for the total energy is -134.1 eV per cell. The total magnetic moment is 0.00 Bohr magnetons per cell.

=====

(4)
DFT (GGA-PBE) results for an optimized crystal structure of Er2BiSe4.

Cell and atoms, written as CIF:
```
data_Er2BiSe4
_chemical_formula_sum 'Er4 Bi2 Se8'
_cell_length_a 16.064
_cell_length_b 3.993
_cell_length_c 7.155
_cell_angle_alpha 90.00
_cell_angle_beta 113.42
_cell_angle_gamma 90.00
_symmetry_space_group_name_H-M 'C 1 2/m 1'
_symmetry_Int_Tables_number 12
loop_
_symmetry_equiv_pos_as_xyz
'x,y,z'
'-x,-y,-z'
'-x,y,-z'
'x,-y,z'
'x+1/2,y+1/2,z'
'-x+1/2,-y+1/2,-z'
'-x+1/2,y+1/2,-z'
'x+1/2,-y+1/2,z'
loop_
_atom_site_label
_atom_site_type_symbol
_atom_site_fract_x
_atom_site_fract_y
_atom_site_fract_z
Er1 Er 0.240 0.000 0.248
Bi1 Bi 0.000 0.500 0.500
Se1 Se 0.136 0.500 0.327
Se2 Se 0.146 0.000 0.817
```

The density of states at the Fermi level comes out at 1.59 states/eV/f.u. The calculated volume is 421.16 Å³ per cell. The value obtained for the formation energy without anion corrections is -1312 meV per atom. The value obtained for the total energy is -72.3 eV per cell. The total magnetic moment is 0.00 Bohr magnetons per cell.

=====

Q: calculated volume of number 2 (Er4BiSe)?
A: 687.11 Å³ per cell

=====

Q: Look up the total magnetic moment of the fourth one.
A: 0.00 Bohr magnetons per cell

=====

Q: Which of these has the highest calculated volume?
A: Er4BiSe

=====

Q: Number 3 is which compound?
A: Er6BiSe5